A plane-wave DFT calculation with PBEsol was carried out for a relaxed SrCaCu2O4 crystal.

a = 5.4527 Å, b = 5.4527 Å, c = 6.5950 Å
α = 90.00°, β = 90.00°, γ = 90.00°
Closest atoms and distances in Å follow each position.
Positions (direct):
Sr  0.0000  0.0000  0.0000  8 O 2.54
Sr  0.5000  0.5000  0.5000  8 O 2.54
Ca  0.0000  0.0000  0.5000  8 O 2.54
Ca  0.5000  0.5000  0.0000  8 O 2.54
Cu  0.0000  0.5000  0.2500  4 O 1.93
Cu  0.0000  0.5000  0.7500  4 O 1.93
Cu  0.5000  0.0000  0.2500  4 O 1.93
Cu  0.5000  0.0000  0.7500  4 O 1.93
O  0.2500  0.2500  0.2500  2 Cu 1.93
O  0.2500  0.2500  0.7500  2 Cu 1.93
O  0.2500  0.7500  0.2500  2 Cu 1.93
O  0.2500  0.7500  0.7500  2 Cu 1.93
O  0.7500  0.2500  0.2500  2 Cu 1.93
O  0.7500  0.2500  0.7500  2 Cu 1.93
O  0.7500  0.7500  0.2500  2 Cu 1.93
O  0.7500  0.7500  0.7500  2 Cu 1.93

Properties
The raw formation energy comes out at -1.773 eV/atom.

A plane-wave DFT calculation with PBEsol was carried out for a relaxed BeGa3Ni crystal.

a = 4.4621 Å, b = 4.4621 Å, c = 4.4621 Å
α = 90.00°, β = 90.00°, γ = 90.00°
Closest atoms and distances in Å follow each position.
Positions (direct):
Be  0.0000  0.0000  0.0000  12 Ga 3.16
Ga  0.0000  0.5000  0.5000  2 Ni 2.23
Ga  0.5000  0.0000  0.5000  2 Ni 2.23
Ga  0.5000  0.5000  0.0000  2 Ni 2.23
Ni  0.5000  0.5000  0.5000  6 Ga 2.23

Properties
Its formation energy is 0.356 eV per atom.